Material: BaCr4Ni
Method: DFT, GGA-PBE
State: optimized geometry

a b c (Å): 7.8320 7.8320 7.8320
angles (deg): 90.00 90.00 90.00
With the nearest neighbours (Å) after each atom.
Space group F-43m (No. 216)
Symmetry-distinct sites (fractional):
Ba  0.0000  0.0000  0.0000 (multiplicity 4)  12 Cr 3.25, 4 Ni 3.39
Cr  0.1221  0.1221  0.6221 (multiplicity 16)  6 Cr 2.70-2.83
Ni  0.2500  0.2500  0.2500 (multiplicity 4)  12 Cr 3.24, 4 Ba 3.39

Values from the calculation:
Energy of formation from the pure elements (eV per atom): 1.246
Calculated total energy (eV/atom): -6.45
M_tot (Bohr magnetons per cell): 62.85

Material: ScGeSeS
Method: DFT, GGA-PBE
State: optimized geometry

a b c (Å): 3.8618 3.8618 5.4635
angles (deg): 90.00 90.00 90.00
With the nearest neighbours (Å) after each atom.
Space group P4/mmm (No. 123)
Symmetry-distinct sites (fractional):
Sc  0.0000  0.0000  0.0000 (multiplicity 1)  4 S 2.73, 2 Se 2.73
Ge  0.5000  0.5000  0.5000 (multiplicity 1)  4 Se 2.73, 2 S 2.73
Se  0.0000  0.0000  0.5000 (multiplicity 1)  4 Ge 2.73, 2 Sc 2.73
S  0.5000  0.5000  0.0000 (multiplicity 1)  4 Sc 2.73, 2 Ge 2.73

Values from the calculation:
Calculated total energy (eV/atom): -5.54
Polymorph energy (0 for the lowest one) (meV per atom): 60.8
Formation energy from raw total energies (eV per formula unit): -3.58
M_tot (Bohr magnetons per cell): 0.00

Material: AsRuSeBr2
Method: DFT, GGA-PBE
State: optimized geometry

a b c (Å): 5.0271 5.0271 4.7850
angles (deg): 90.00 90.00 90.00
With the nearest neighbours (Å) after each atom.
Space group P4/mmm (No. 123)
Symmetry-distinct sites (fractional):
As  0.0000  0.0000  0.0000 (multiplicity 1)  8 Br 3.47, 4 Se 3.55
Ru  0.5000  0.5000  0.5000 (multiplicity 1)  2 Se 2.39, 4 Br 2.51
Se  0.5000  0.5000  0.0000 (multiplicity 1)  2 Ru 2.39
Br  0.0000  0.5000  0.5000 (multiplicity 2)  2 Ru 2.51

Values from the calculation:
Calculated total energy (eV/atom): -3.61
Polymorph energy (0 for the lowest one) (meV per atom): 25.5
Formation energy from raw total energies (eV per formula unit): 2.70
M_tot (Bohr magnetons per cell): 0.00

Material: InAg2Ge
Method: DFT, GGA-PBE
State: optimized geometry

a b c (Å): 4.2769 4.2769 18.6704
angles (deg): 90.00 90.00 90.00
With the nearest neighbours (Å) after each atom.
Space group I-42d (No. 122)
Symmetry-distinct sites (fractional):
In  0.0000  0.0000  0.0000 (multiplicity 4)  4 Ag 2.81, 4 Ge 3.02
Ag  0.2316  0.2500  0.6250 (multiplicity 8)  2 Ge 2.75, 2 In 2.81, 2 Ag 2.92
Ge  0.0000  0.0000  0.5000 (multiplicity 4)  4 Ag 2.75, 4 In 3.02

Values from the calculation:
Energy of formation from the pure elements (eV per atom): 0.188
Calculated total energy (eV/atom): -3.08
M_tot (Bohr magnetons per cell): 0.00

Material: K2BaNi
Method: DFT, GGA-PBE
State: optimized geometry

a b c (Å): 5.6817 5.6891 11.5818
angles (deg): 90.00 90.00 90.00
With the nearest neighbours (Å) after each atom.
Space group Cmm2 (No. 35)
Symmetry-distinct sites (fractional):
K  0.0000  0.0000  0.0000 (multiplicity 2)  4 Ni 3.66, 1 Ba 3.69, 4 K 4.02
K  0.0000  0.5000  0.3471 (multiplicity 2)  4 K 4.02
Ba  0.0000  0.0000  0.6815 (multiplicity 2)  4 Ni 3.16
Ni  0.0000  0.5000  0.8008 (multiplicity 2)  4 Ba 3.16

Values from the calculation:
Energy of formation from the pure elements (eV per atom): 0.261
Calculated total energy (eV/atom): -2.21
Polymorph energy (0 for the lowest one) (meV per atom): 14.5
M_tot (Bohr magnetons per cell): 0.00

Material: NdErZr2
Method: DFT, GGA-PBE
State: optimized geometry

a b c (Å): 3.9556 3.9556 6.9571
angles (deg): 90.00 90.00 90.00
With the nearest neighbours (Å) after each atom.
Space group P4/mmm (No. 123)
Symmetry-distinct sites (fractional):
Nd  0.0000  0.0000  0.0000 (multiplicity 1)  8 Zr 3.39, 2 Er 3.48
Er  0.0000  0.0000  0.5000 (multiplicity 1)  8 Zr 3.20, 2 Nd 3.48
Zr  0.5000  0.5000  0.2765 (multiplicity 2)  1 Zr 3.11, 4 Er 3.20, 4 Nd 3.39

Values from the calculation:
Energy of formation from the pure elements (eV per atom): 0.228
Calculated total energy (eV/atom): -6.38
Polymorph energy (0 for the lowest one) (meV per atom): 73.9
M_tot (Bohr magnetons per cell): 0.00

Material: RbPa2Te6
Method: DFT, GGA-PBE
State: optimized geometry

a b c (Å): 8.9237 8.9237 4.2541
angles (deg): 90.00 90.00 120.00
With the nearest neighbours (Å) after each atom.
Space group P-3 (No. 147)
Symmetry-distinct sites (fractional):
Rb  0.0000  0.0000  0.0000 (multiplicity 1)  6 Te 3.49
Pa  0.3333  0.6667  0.7587 (multiplicity 2)  6 Te 3.09-3.10
Te  0.0891  0.6821  0.2597 (multiplicity 6)  2 Pa 3.09-3.10

Values from the calculation:
Calculated total energy (eV/atom): -5.12
Formation energy from raw total energies (eV per formula unit): -7.30
M_tot (Bohr magnetons per cell): 0.00

Material: AlTl2Mo
Method: DFT, GGA-PBE
State: optimized geometry

a b c (Å): 3.0561 5.1531 5.3078
angles (deg): 90.00 90.00 90.00
With the nearest neighbours (Å) after each atom.
Space group Pmmm (No. 47)
Symmetry-distinct sites (fractional):
Al  0.0000  0.0000  0.0000 (multiplicity 1)  4 Tl 3.00, 2 Al 3.06, 4 Mo 3.06
Tl  0.0000  0.5000  0.5000 (multiplicity 1)  4 Mo 3.00, 6 Tl 3.06
Tl  0.5000  0.5000  0.0000 (multiplicity 1)  4 Al 3.00, 6 Tl 3.06
Mo  0.5000  0.0000  0.5000 (multiplicity 1)  4 Tl 3.00, 2 Mo 3.06, 4 Al 3.06

Values from the calculation:
Energy of formation from the pure elements (eV per atom): 0.640
Calculated total energy (eV/atom): -4.19
Polymorph energy (0 for the lowest one) (meV per atom): 253.3
M_tot (Bohr magnetons per cell): 0.00

Material: Np2AsPt
Method: DFT, GGA-PBE
State: optimized geometry

a b c (Å): 3.9958 3.9958 21.0452
angles (deg): 90.00 90.00 120.00
With the nearest neighbours (Å) after each atom.
Space group R-3m (No. 166, hexagonal axes)
Symmetry-distinct sites (fractional):
Np  0.0000  0.0000  0.2480 (multiplicity 6)  3 Pt 2.87, 3 As 2.92
As  0.0000  0.0000  0.0000 (multiplicity 3)  6 Np 2.92
Pt  0.0000  0.0000  0.5000 (multiplicity 3)  6 Np 2.87

Values from the calculation:
Energy of formation from the pure elements (eV per atom): -0.449
Calculated total energy (eV/atom): -9.59
Polymorph energy (0 for the lowest one) (meV per atom): 26.2
M_tot (Bohr magnetons per cell): 24.68

Material: Pm2Sc2Se2S3
Method: DFT, GGA-PBE
State: optimized geometry

a b c (Å): 4.8065 4.8065 18.6172
angles (deg): 90.00 90.00 90.00
With the nearest neighbours (Å) after each atom.
Space group I4/mmm (No. 139)
Symmetry-distinct sites (fractional):
Pm  0.0000  0.0000  0.1764 (multiplicity 4)  4 S 2.77
Sc  0.0000  0.5000  0.0000 (multiplicity 4)  2 S 2.40
Se  0.0000  0.0000  0.4066 (multiplicity 4)  4 Sc 2.97
S  0.0000  0.0000  0.0000 (multiplicity 2)  4 Sc 2.40
S  0.0000  0.5000  0.2500 (multiplicity 4)  4 Pm 2.77

Values from the calculation:
Calculated total energy (eV/atom): -6.23
Formation energy from raw total energies (eV per formula unit): -14.58
M_tot (Bohr magnetons per cell): 0.01

Material: Li2CdP
Method: DFT, GGA-PBE
State: optimized geometry

a b c (Å): 4.1119 4.1119 17.4311
angles (deg): 90.00 90.00 90.00
With the nearest neighbours (Å) after each atom.
Space group I-42d (No. 122)
Symmetry-distinct sites (fractional):
Li  0.1854  0.2500  0.1250 (multiplicity 8)  2 P 2.53, 2 Li 2.56, 2 Cd 2.73
Cd  0.0000  0.0000  0.5000 (multiplicity 4)  4 Li 2.73, 4 P 2.91
P  0.0000  0.0000  0.0000 (multiplicity 4)  4 Li 2.53

Values from the calculation:
Energy of formation from the pure elements (eV per atom): -0.125
Calculated total energy (eV/atom): -2.66
M_tot (Bohr magnetons per cell): 0.00

Material: Th6Hg3Ru2C
Method: DFT, GGA-PBE
State: optimized geometry

a b c (Å): 6.8978 11.9882 8.2657
angles (deg): 90.00 106.34 90.00
With the nearest neighbours (Å) after each atom.
Space group C2/m (No. 12)
Symmetry-distinct sites (fractional):
Th  0.2214  0.1575  0.1923 (multiplicity 8)  1 C 2.66, 2 Ru 2.81-2.82
Th  0.2469  0.5000  0.1887 (multiplicity 4)  1 C 2.65, 2 Ru 2.81
Hg  0.0000  0.1658  0.5000 (multiplicity 4)  6 Th 3.32-3.45
Hg  0.0000  0.5000  0.5000 (multiplicity 2)  6 Th 3.31-3.46
Ru  0.0000  0.3323  0.0000 (multiplicity 4)  6 Th 2.81-2.82
C  0.0000  0.0000  0.0000 (multiplicity 2)  6 Th 2.65-2.66

Values from the calculation:
Energy of formation from the pure elements (eV per atom): -0.326
Calculated total energy (eV/atom): -6.43
M_tot (Bohr magnetons per cell): 0.00

Number 1: N(E_F) 36.16 states/eV/cell. Number 2: N(E_F) 2.51 states/eV/cell. Number 3: N(E_F) 4.06 states/eV/cell. Number 4: N(E_F) 5.90 states/eV/cell. Number 5: N(E_F) 4.39 states/eV/cell. Number 6: N(E_F) 5.28 states/eV/cell. Number 7: N(E_F) 4.69 states/eV/cell. Number 8: N(E_F) 2.57 states/eV/cell. Number 9: N(E_F) 55.21 states/eV/cell. Number 10: N(E_F) 12.25 states/eV/cell. Number 11: N(E_F) 6.61 states/eV/cell. Number 12: N(E_F) 23.05 states/eV/cell.